Arrangement A

This record from Alexandria via LeMat-Bulk describes a geometry-optimized ZrP3Pt structure. The functional is PBE.

Values from the calculation:
N(E_F), states/eV per atom: 0.649

CIF file:
```
data_ZrP3Pt
_symmetry_space_group_name_H-M 'P m -3 m'
_symmetry_Int_Tables_number 221
_symmetry_space_group_name_Hall '-P 4 2 3'
_cell_length_a 4.6535
_cell_length_b 4.6535
_cell_length_c 4.6535
_cell_angle_alpha 90.00
_cell_angle_beta 90.00
_cell_angle_gamma 90.00
loop_
_atom_site_label
_atom_site_type_symbol
_atom_site_fract_x
_atom_site_fract_y
_atom_site_fract_z
Zr1 Zr 0.0000 0.0000 0.0000
P1 P 0.0000 0.5000 0.5000
Pt1 Pt 0.5000 0.5000 0.5000
```



Arrangement B

This record from Alexandria via LeMat-Bulk describes a geometry-optimized ZrP3Pt structure. The functional is PBE.

Values from the calculation:
N(E_F), states/eV per atom: 1.451

CIF file:
```
data_ZrP3Pt
_symmetry_space_group_name_H-M 'P m -3 m'
_symmetry_Int_Tables_number 221
_symmetry_space_group_name_Hall '-P 4 2 3'
_cell_length_a 4.9352
_cell_length_b 4.9352
_cell_length_c 4.9352
_cell_angle_alpha 90.00
_cell_angle_beta 90.00
_cell_angle_gamma 90.00
loop_
_atom_site_label
_atom_site_type_symbol
_atom_site_fract_x
_atom_site_fract_y
_atom_site_fract_z
Zr1 Zr 0.0000 0.0000 0.0000
P1 P 0.0000 0.0000 0.5000
Pt1 Pt 0.5000 0.5000 0.5000
```



Energies in eV/atom, measured from the most stable structure: arrangement A 0.000; arrangement B 0.473.